P.
A plane-wave DFT calculation with GGA-PBE was carried out for a geometry-optimized GaP2HO structure.

Lattice parameters (Å, degrees): 4.8954 4.8954 3.5726 90.00 90.00 90.00
Positions (direct):
1 P 0.5000 0.0000 0.0000
2 P 0.0000 0.5000 0.0000
3 O 0.0000 0.0000 0.5000
4 Ga 0.0000 0.0000 0.0000
5 H 0.5000 0.5000 0.5000

Summary:
Fermi-level density of states (states/eV per cell): 3.68
Total moment (μB per cell): 0.00



Q.
A plane-wave DFT calculation with GGA-PBE was carried out for a geometry-optimized GaP2HO structure.

Lattice parameters (Å, degrees): 3.3085 3.3085 6.4877 90.00 90.00 90.00
Positions (direct):
1 P 0.0000 0.5000 0.0000
2 P 0.5000 0.0000 0.0000
3 H 0.0000 0.0000 0.0000
4 Ga 0.5000 0.5000 0.5000
5 O 0.0000 0.0000 0.5000

Summary:
Fermi-level density of states (states/eV per cell): 2.53
Total moment (μB per cell): 0.00



What should be chosen as the most stable of them? Choose Q.



P.
A plane-wave DFT calculation with GGA-PBE was carried out for a geometry-optimized GaHOs3 structure.

Lattice parameters (Å, degrees): 4.5531 4.5531 4.5531 90.00 90.00 90.00
Site moments in Bohr magnetons follow the coordinates.
Positions (direct):
1 Os 0.5000 0.0000 0.0000  0.87
2 Os 0.0000 0.0000 0.5000  1.32
3 Os 0.0000 0.5000 0.0000  1.10
4 H 0.5000 0.5000 0.5000  0.06
5 Ga 0.0000 0.0000 0.0000  -0.01

Summary:
Fermi-level density of states (states/eV per cell): 5.07
Total moment (μB per cell): 3.67



Q.
A plane-wave DFT calculation with GGA-PBE was carried out for a geometry-optimized GaHOs3 structure.

Lattice parameters (Å, degrees): 3.9326 3.9326 3.9326 90.00 90.00 90.00
Positions (direct):
1 Os 0.5000 0.0000 0.0000
2 Os 0.0000 0.5000 0.0000
3 Os 0.0000 0.0000 0.5000
4 H 0.0000 0.0000 0.0000
5 Ga 0.5000 0.5000 0.5000

Summary:
Fermi-level density of states (states/eV per cell): 7.64
Total moment (μB per cell): 0.00



What should be chosen as the most stable of them? Choose Q.



P.
A plane-wave DFT calculation with GGA-PBE was carried out for a geometry-optimized GaHOs structure.

Lattice parameters (Å, degrees): 6.7980 5.5551 8.2139 90.00 90.00 65.12
Positions (direct):
1 H 0.6737 0.2933 0.0289
2 H 0.5403 0.3336 0.7859
3 H 0.6737 0.7933 0.4711
4 H 0.5403 0.8336 0.7141
5 H 0.4597 0.6664 0.2141
6 H 0.4597 0.1664 0.2859
7 H 0.3263 0.2067 0.5289
8 H 0.3263 0.7067 0.9711
9 Os 0.9510 0.7655 0.4889
10 Os 0.6965 0.0833 0.1922
11 Os 0.3035 0.4167 0.6922
12 Os 0.9510 0.2655 0.0111
13 Os 0.0490 0.7345 0.9889
14 Os 0.6965 0.5833 0.3078
15 Os 0.0490 0.2345 0.5111
16 Os 0.3035 0.9167 0.8078
17 Ga 0.6293 0.7457 0.0122
18 Ga 0.8940 0.0494 0.7461
19 Ga 0.8940 0.5494 0.7539
20 Ga 0.1060 0.9506 0.2539
21 Ga 0.3707 0.2543 0.9878
22 Ga 0.1060 0.4506 0.2461
23 Ga 0.6293 0.2457 0.4878
24 Ga 0.3707 0.7543 0.5122

Summary:
Fermi-level density of states (states/eV per cell): 9.53
Total moment (μB per cell): 0.00



Q.
A plane-wave DFT calculation with GGA-PBE was carried out for a geometry-optimized GaHOs structure.

Lattice parameters (Å, degrees): 3.4047 3.4047 4.5654 111.89 111.89 90.00
Positions (direct):
1 Ga 0.2525 0.2525 0.5050
2 Os 0.6964 0.6964 0.3928
3 H 0.9011 0.9011 0.8022

Summary:
Fermi-level density of states (states/eV per cell): 1.68
Total moment (μB per cell): 0.00



What should be chosen as the most stable of them? Choose P.



P.
A plane-wave DFT calculation with GGA-PBE was carried out for a geometry-optimized GaH3Os structure.

Lattice parameters (Å, degrees): 3.5331 3.5331 3.5331 90.00 90.00 90.00
Positions (direct):
1 H 0.5000 0.0000 0.0000
2 H 0.0000 0.5000 0.0000
3 H 0.0000 0.0000 0.5000
4 Ga 0.5000 0.5000 0.5000
5 Os 0.0000 0.0000 0.0000

Summary:
Fermi-level density of states (states/eV per cell): 1.56
Total moment (μB per cell): 0.00



Q.
A plane-wave DFT calculation with GGA-PBE was carried out for a geometry-optimized GaH3Os structure.

Lattice parameters (Å, degrees): 3.4704 3.4704 3.4704 90.00 90.00 90.00
Site moments in Bohr magnetons follow the coordinates.
Positions (direct):
1 Os 0.5000 0.5000 0.5000  1.13
2 H 0.0000 0.0000 0.5000  0.03
3 H 0.5000 0.0000 0.0000  0.01
4 H 0.0000 0.5000 0.0000  0.03
5 Ga 0.0000 0.0000 0.0000  0.05

Summary:
Fermi-level density of states (states/eV per cell): 3.28
Total moment (μB per cell): 1.32



What should be chosen as the most stable of them? Choose P.